## Th2Si3Rh2 (GGA-PBE)

Data for a relaxed Th2Si3Rh2 crystal.

The raw formation energy comes out at -6.6 eV per formula unit. The symmetry is Cmcm, No. 63. The calculation puts the energy above the lowest structure with this stoichiometry at 0.0000 eV per atom. Its raw total energy is -104.8 eV for the cell shown.

abc: 4.223 6.957 9.334
angles: 90.00 103.07 90.00
Sites, in units of the cell vectors:
Th  0.158  0.250  0.317
Th  0.842  0.750  0.683
Th  0.946  0.250  0.892
Th  0.054  0.750  0.108
Si  0.220  0.750  0.440
Si  0.780  0.250  0.560
Si  0.560  0.431  0.121
Si  0.440  0.569  0.879
Si  0.440  0.931  0.879
Si  0.560  0.069  0.121
Rh  0.692  0.954  0.384
Rh  0.308  0.046  0.616
Rh  0.308  0.454  0.616
Rh  0.692  0.546  0.384